A relaxed Sm7Dy6Er16 crystal, computed with PBE.

The structure in POSCAR format:
```
Sm7Dy6Er16
1.0
0.000 7.868 7.868
7.868 0.000 7.868
7.868 7.868 0.000
Sm Dy Er
7 6 16
direct
0.000 0.000 0.000 Sm
0.000 0.000 0.500 Sm
0.000 0.500 0.000 Sm
0.000 0.500 0.500 Sm
0.500 0.000 0.000 Sm
0.500 0.000 0.500 Sm
0.500 0.500 0.000 Sm
0.259 0.259 0.741 Dy
0.259 0.741 0.259 Dy
0.259 0.741 0.741 Dy
0.741 0.259 0.259 Dy
0.741 0.259 0.741 Dy
0.741 0.741 0.259 Dy
0.054 0.649 0.649 Er
0.129 0.129 0.129 Er
0.129 0.129 0.613 Er
0.129 0.613 0.129 Er
0.351 0.351 0.351 Er
0.351 0.351 0.946 Er
0.351 0.946 0.351 Er
0.387 0.871 0.871 Er
0.613 0.129 0.129 Er
0.649 0.054 0.649 Er
0.649 0.649 0.054 Er
0.649 0.649 0.649 Er
0.871 0.387 0.871 Er
0.871 0.871 0.387 Er
0.871 0.871 0.871 Er
0.946 0.351 0.351 Er
```

Computed properties:
ΔE_f = 0.271 eV per atom
SG = Fm-3m (225)

A relaxed Sm3Dy2Er5 crystal, computed with PBE.

The structure in POSCAR format:
```
Sm3Dy2Er5
1.0
-6.414 8.404 3.135
6.414 -8.404 3.135
6.414 8.404 -3.135
Sm Dy Er
6 4 10
direct
0.247 0.158 0.405 Sm
0.250 0.250 0.000 Sm
0.253 0.658 0.911 Sm
0.747 0.342 0.089 Sm
0.750 0.750 0.000 Sm
0.753 0.842 0.595 Sm
0.156 0.897 0.053 Dy
0.344 0.397 0.741 Dy
0.656 0.603 0.259 Dy
0.844 0.103 0.947 Dy
0.156 0.402 0.558 Er
0.250 0.503 0.253 Er
0.250 0.750 0.500 Er
0.250 0.997 0.747 Er
0.344 0.902 0.246 Er
0.656 0.098 0.754 Er
0.750 0.003 0.253 Er
0.750 0.250 0.500 Er
0.750 0.497 0.747 Er
0.844 0.598 0.442 Er
```

Computed properties:
ΔE_f = 0.346 eV per atom
SG = Ibam (72)
polymorph energy (0 for the lowest one) = 149.0 meV/atom

A relaxed Sm4Dy3Er5 crystal, computed with PBE.

The structure in POSCAR format:
```
Sm4Dy3Er5
1.0
8.001 -2.945 0.000
8.001 2.945 0.000
-4.154 0.000 8.320
Sm Dy Er
4 3 5
direct
0.083 0.083 0.444 Sm
0.215 0.215 0.881 Sm
0.785 0.785 0.119 Sm
0.917 0.917 0.556 Sm
0.211 0.211 0.235 Dy
0.500 0.500 0.000 Dy
0.789 0.789 0.765 Dy
0.000 0.000 0.000 Er
0.328 0.328 0.615 Er
0.429 0.429 0.299 Er
0.571 0.571 0.701 Er
0.672 0.672 0.385 Er
```

Computed properties:
ΔE_f = 0.235 eV per atom
SG = C2/m (12)
polymorph energy (0 for the lowest one) = 217.5 meV/atom

A relaxed Sm2Dy6Er crystal, computed with PBE.

The structure in POSCAR format:
```
Sm2Dy6Er
1.0
6.395 -7.127 0.000
6.395 7.127 0.000
-1.630 0.000 6.359
Sm Dy Er
4 12 2
direct
0.119 0.168 0.371 Sm
0.168 0.119 0.871 Sm
0.832 0.881 0.129 Sm
0.881 0.832 0.629 Sm
0.038 0.441 0.728 Dy
0.151 0.777 0.996 Dy
0.223 0.849 0.504 Dy
0.278 0.458 0.185 Dy
0.441 0.038 0.228 Dy
0.458 0.278 0.685 Dy
0.542 0.722 0.315 Dy
0.559 0.962 0.772 Dy
0.722 0.542 0.815 Dy
0.777 0.151 0.496 Dy
0.849 0.223 0.004 Dy
0.962 0.559 0.272 Dy
0.382 0.618 0.750 Er
0.618 0.382 0.250 Er
```

Computed properties:
ΔE_f = 0.112 eV per atom
SG = C2/c (15)

A relaxed SmDy8Er3 crystal, computed with PBE.

The structure in POSCAR format:
```
SmDy8Er3
1.0
6.263 0.000 0.000
3.122 7.811 0.000
3.131 0.291 7.813
Sm Dy Er
1 8 3
direct
0.000 0.000 0.000 Sm
0.083 0.581 0.916 Dy
0.083 0.915 0.583 Dy
0.500 0.167 0.833 Dy
0.500 0.833 0.168 Dy
0.581 0.084 0.419 Dy
0.581 0.417 0.085 Dy
0.999 0.334 0.666 Dy
0.999 0.666 0.334 Dy
0.081 0.250 0.252 Er
0.501 0.500 0.500 Er
0.584 0.748 0.750 Er
```

Computed properties:
ΔE_f = 0.010 eV per atom
SG = P1 (1)

A relaxed Sm6Dy3Er2 crystal, computed with PBE.

The structure in POSCAR format:
```
Sm6Dy3Er2
1.0
6.197 0.000 0.000
-1.019 7.924 0.000
-2.044 -2.690 7.273
Sm Dy Er
6 3 2
direct
0.046 0.411 0.183 Sm
0.228 0.046 0.909 Sm
0.318 0.864 0.274 Sm
0.682 0.136 0.726 Sm
0.772 0.954 0.091 Sm
0.954 0.589 0.817 Sm
0.137 0.229 0.546 Dy
0.500 0.500 0.000 Dy
0.863 0.771 0.454 Dy
0.409 0.680 0.635 Er
0.591 0.320 0.365 Er
```

Computed properties:
ΔE_f = 0.015 eV per atom
SG = P-1 (2)
polymorph energy (0 for the lowest one) = 0.0 meV/atom

A relaxed Sm3Dy7Er2 crystal, computed with PBE.

The structure in POSCAR format:
```
Sm3Dy7Er2
1.0
3.243 1.872 11.226
-3.243 1.872 11.226
0.000 -3.745 11.226
Sm Dy Er
3 7 2
direct
0.000 0.000 0.000 Sm
0.155 0.155 0.155 Sm
0.845 0.845 0.845 Sm
0.082 0.585 0.585 Dy
0.415 0.415 0.918 Dy
0.415 0.918 0.415 Dy
0.500 0.500 0.500 Dy
0.585 0.082 0.585 Dy
0.585 0.585 0.082 Dy
0.918 0.415 0.415 Dy
0.333 0.333 0.333 Er
0.667 0.667 0.667 Er
```

Computed properties:
ΔE_f = 0.295 eV per atom
SG = R-3m (166)
polymorph energy (0 for the lowest one) = 206.6 meV/atom

A relaxed Sm2Dy12Er5 crystal, computed with PBE.

The structure in POSCAR format:
```
Sm2Dy12Er5
1.0
7.854 -4.591 0.000
7.854 4.591 0.000
-0.147 0.000 8.491
Sm Dy Er
2 12 5
direct
0.181 0.819 0.000 Sm
0.819 0.181 0.000 Sm
0.059 0.059 0.332 Dy
0.066 0.681 0.344 Dy
0.163 0.525 0.757 Dy
0.319 0.934 0.656 Dy
0.407 0.407 0.117 Dy
0.475 0.837 0.243 Dy
0.525 0.163 0.757 Dy
0.593 0.593 0.883 Dy
0.681 0.066 0.344 Dy
0.837 0.475 0.243 Dy
0.934 0.319 0.656 Dy
0.941 0.941 0.668 Dy
0.197 0.197 0.011 Er
0.268 0.268 0.425 Er
0.500 0.500 0.500 Er
0.732 0.732 0.575 Er
0.803 0.803 0.989 Er
```

Computed properties:
ΔE_f = 0.132 eV per atom
SG = C2/m (12)
polymorph energy (0 for the lowest one) = 112.5 meV/atom

A relaxed SmDy4Er crystal, computed with PBE.

The structure in POSCAR format:
```
SmDy4Er
1.0
4.398 -7.432 0.000
4.398 7.432 0.000
-2.679 0.000 5.922
Sm Dy Er
2 8 2
direct
0.012 0.988 0.750 Sm
0.988 0.012 0.250 Sm
0.115 0.709 0.452 Dy
0.181 0.423 0.110 Dy
0.291 0.885 0.048 Dy
0.423 0.181 0.610 Dy
0.577 0.819 0.390 Dy
0.709 0.115 0.952 Dy
0.819 0.577 0.890 Dy
0.885 0.291 0.548 Dy
0.414 0.586 0.750 Er
0.586 0.414 0.250 Er
```

Computed properties:
ΔE_f = 0.155 eV per atom
SG = C2/c (15)
polymorph energy (0 for the lowest one) = 136.6 meV/atom

A relaxed Sm6DyEr5 crystal, computed with PBE.

The structure in POSCAR format:
```
Sm6DyEr5
1.0
-2.529 5.022 7.587
2.529 -5.022 7.587
2.529 5.022 -7.587
Sm Dy Er
6 1 5
direct
0.083 0.333 0.750 Sm
0.249 0.000 0.249 Sm
0.416 0.667 0.750 Sm
0.584 0.333 0.250 Sm
0.751 0.000 0.751 Sm
0.917 0.667 0.250 Sm
0.500 0.500 0.000 Dy
0.000 0.500 0.500 Er
0.167 0.167 0.000 Er
0.333 0.833 0.500 Er
0.667 0.167 0.500 Er
0.833 0.833 0.000 Er
```

Computed properties:
ΔE_f = 0.018 eV per atom
SG = Immm (71)

A relaxed SmDy8Er5 crystal, computed with PBE.

The structure in POSCAR format:
```
SmDy8Er5
1.0
-4.732 4.732 5.071
4.732 -4.732 5.071
4.732 4.732 -5.071
Sm Dy Er
1 8 5
direct
0.000 0.000 0.000 Sm
0.086 0.670 0.762 Dy
0.174 0.279 0.753 Dy
0.330 0.091 0.416 Dy
0.526 0.421 0.247 Dy
0.579 0.826 0.106 Dy
0.676 0.914 0.584 Dy
0.721 0.474 0.894 Dy
0.909 0.324 0.238 Dy
0.211 0.615 0.179 Er
0.385 0.564 0.596 Er
0.436 0.032 0.821 Er
0.750 0.250 0.500 Er
0.968 0.789 0.404 Er
```

Computed properties:
ΔE_f = 0.252 eV per atom
SG = I-4 (82)

A relaxed Sm3DyEr7 crystal, computed with PBE.

The structure in POSCAR format:
```
Sm3DyEr7
1.0
7.012 0.000 0.000
-3.506 6.073 0.000
0.000 0.000 8.599
Sm Dy Er
3 1 7
direct
0.000 0.500 0.000 Sm
0.500 0.000 0.000 Sm
0.500 0.500 0.000 Sm
0.333 0.667 0.662 Dy
0.168 0.335 0.337 Er
0.168 0.832 0.337 Er
0.335 0.168 0.662 Er
0.665 0.832 0.337 Er
0.667 0.333 0.338 Er
0.832 0.168 0.662 Er
0.832 0.665 0.662 Er
```

Computed properties:
ΔE_f = 0.183 eV per atom
SG = P3m1 (156)
polymorph energy (0 for the lowest one) = 28.6 meV/atom

A relaxed Sm7Dy3Er2 crystal, computed with PBE.

The structure in POSCAR format:
```
Sm7Dy3Er2
1.0
3.275 1.891 11.161
-3.275 1.891 11.161
0.000 -3.781 11.161
Sm Dy Er
7 3 2
direct
0.000 0.000 0.000 Sm
0.087 0.087 0.578 Sm
0.087 0.578 0.087 Sm
0.422 0.913 0.913 Sm
0.578 0.087 0.087 Sm
0.913 0.422 0.913 Sm
0.913 0.913 0.422 Sm
0.348 0.348 0.348 Dy
0.500 0.500 0.500 Dy
0.652 0.652 0.652 Dy
0.166 0.166 0.166 Er
0.834 0.834 0.834 Er
```

Computed properties:
ΔE_f = 0.297 eV per atom
SG = R-3m (166)

A relaxed Sm2Dy7Er2 crystal, computed with PBE.

The structure in POSCAR format:
```
Sm2Dy7Er2
1.0
4.444 -4.712 0.000
4.444 4.712 0.000
-1.770 0.000 8.504
Sm Dy Er
2 7 2
direct
0.177 0.823 0.000 Sm
0.823 0.177 0.000 Sm
0.056 0.418 0.708 Dy
0.107 0.107 0.356 Dy
0.418 0.056 0.708 Dy
0.500 0.500 0.500 Dy
0.582 0.944 0.292 Dy
0.893 0.893 0.644 Dy
0.944 0.582 0.292 Dy
0.352 0.352 0.095 Er
0.648 0.648 0.905 Er
```

Computed properties:
ΔE_f = 0.117 eV per atom
SG = C2/m (12)
polymorph energy (0 for the lowest one) = 0.0 meV/atom

A relaxed Sm6DyEr crystal, computed with PBE.

The structure in POSCAR format:
```
Sm6DyEr
1.0
5.092 0.000 0.000
0.000 5.092 0.000
0.000 0.000 10.182
Sm Dy Er
6 1 1
direct
0.000 0.000 0.000 Sm
0.000 0.000 0.500 Sm
0.000 0.500 0.249 Sm
0.000 0.500 0.751 Sm
0.500 0.000 0.249 Sm
0.500 0.000 0.751 Sm
0.500 0.500 0.500 Dy
0.500 0.500 0.000 Er
```

Computed properties:
ΔE_f = 0.018 eV per atom
SG = P4/mmm (123)

A relaxed Sm6Dy8Er crystal, computed with PBE.

The structure in POSCAR format:
```
Sm6Dy8Er
1.0
4.543 2.623 6.903
-4.543 2.623 6.903
0.000 -5.245 6.903
Sm Dy Er
6 8 1
direct
0.039 0.605 0.728 Sm
0.272 0.961 0.395 Sm
0.395 0.272 0.961 Sm
0.605 0.728 0.039 Sm
0.728 0.039 0.605 Sm
0.961 0.395 0.272 Sm
0.077 0.077 0.077 Dy
0.220 0.611 0.246 Dy
0.246 0.220 0.611 Dy
0.389 0.754 0.780 Dy
0.611 0.246 0.220 Dy
0.754 0.780 0.389 Dy
0.780 0.389 0.754 Dy
0.923 0.923 0.923 Dy
0.500 0.500 0.500 Er
```

Computed properties:
ΔE_f = 0.121 eV per atom
SG = R-3 (148)
polymorph energy (0 for the lowest one) = 0.0 meV/atom

A relaxed SmDy3Er6 crystal, computed with PBE.

The structure in POSCAR format:
```
SmDy3Er6
1.0
5.476 -9.406 0.000
5.476 9.406 0.000
0.000 0.000 6.148
Sm Dy Er
2 6 12
direct
0.208 0.792 0.500 Sm
0.792 0.208 0.000 Sm
0.064 0.281 0.304 Dy
0.281 0.064 0.804 Dy
0.391 0.609 0.417 Dy
0.609 0.391 0.917 Dy
0.719 0.936 0.304 Dy
0.936 0.719 0.804 Dy
0.038 0.459 0.711 Er
0.047 0.953 0.263 Er
0.285 0.715 0.988 Er
0.288 0.383 0.877 Er
0.383 0.288 0.377 Er
0.459 0.038 0.211 Er
0.541 0.962 0.711 Er
0.617 0.712 0.877 Er
0.712 0.617 0.377 Er
0.715 0.285 0.488 Er
0.953 0.047 0.763 Er
0.962 0.541 0.211 Er
```

Computed properties:
ΔE_f = 0.148 eV per atom
SG = Cmc2_1 (36)
polymorph energy (0 for the lowest one) = 0.0 meV/atom

A relaxed Sm12Dy7Er crystal, computed with PBE.

The structure in POSCAR format:
```
Sm12Dy7Er
1.0
6.443 3.720 4.667
-6.443 3.720 4.667
0.000 -7.440 4.667
Sm Dy Er
12 7 1
direct
0.022 0.087 0.353 Sm
0.087 0.353 0.022 Sm
0.185 0.749 0.317 Sm
0.251 0.683 0.815 Sm
0.317 0.185 0.749 Sm
0.353 0.022 0.087 Sm
0.647 0.978 0.913 Sm
0.683 0.815 0.251 Sm
0.749 0.317 0.185 Sm
0.815 0.251 0.683 Sm
0.913 0.647 0.978 Sm
0.978 0.913 0.647 Sm
0.000 0.000 0.000 Dy
0.151 0.416 0.480 Dy
0.416 0.480 0.151 Dy
0.480 0.151 0.416 Dy
0.520 0.849 0.584 Dy
0.584 0.520 0.849 Dy
0.849 0.584 0.520 Dy
0.500 0.500 0.500 Er
```

Computed properties:
ΔE_f = 0.278 eV per atom
SG = R-3 (148)
polymorph energy (0 for the lowest one) = 29.6 meV/atom